[1]
Ba2CeBe2As4 | PBE | relaxed

a b c (Å): 4.150 7.610 7.975
angles (deg): 109.96 105.08 90.00
Element x y z (fractional)
As 0.522 0.755 0.045
Be 0.328 0.024 0.655
As 0.796 0.848 0.592
Be 0.672 0.976 0.345
Ce 0.000 0.000 0.000
As 0.478 0.245 0.955
Ba 0.138 0.579 0.276
As 0.204 0.152 0.408
Ba 0.862 0.421 0.724

Results
total energy = -43.8 eV per cell
energy of formation = -0.889 eV per atom
space group = C2/m, No. 12
mass density = 5.347 g/cm3



[2]
CeLuBi2 | PBE | relaxed

a b c (Å): 3.972 5.441 5.441
angles (deg): 90.00 90.00 90.00
Element x y z (fractional)
Ce 0.500 0.000 0.000
Lu 0.500 0.500 0.500
Bi 0.000 0.500 0.000
Bi 0.000 0.000 0.500

Results
E above lowest polymorph = 0.778 eV per formula unit
total energy = -20.5 eV per cell
energy of formation = -0.565 eV per atom
space group = P4/mmm, No. 123
mass density = 10.351 g/cm3